First-principles (GGA-PBE) data for a relaxed structure of NbV2H4, as listed in Alexandria.

a b c (Å): 5.424 5.424 5.438
angles (deg): 120.11 120.11 89.81
Sites, in units of the cell vectors:
Nb  0.000  0.000  0.000
Nb  0.250  0.750  0.500
H  0.857  0.575  0.716
H  0.425  0.143  0.284
H  0.859  0.141  0.716
H  0.825  0.607  0.216
H  0.859  0.141  0.283
H  0.391  0.609  0.217
H  0.393  0.175  0.784
H  0.391  0.609  0.784
V  0.625  0.875  0.250
V  0.625  0.375  0.750
V  0.625  0.375  0.250
V  0.125  0.375  0.750

For the calculated total energy, the calculation gives -6.16 eV per atom. The symmetry is Imma (74). The value obtained for the energy relative to the lowest polymorph listed for this composition is 0 meV/atom.

First-principles (GGA-PBE) data for a relaxed structure of HoTmTlTc, as listed in Alexandria.

a b c (Å): 5.049 5.049 5.049
angles (deg): 60.00 60.00 60.00
Sites, in units of the cell vectors:
Tm  0.500  0.500  0.500
Tc  0.250  0.250  0.250
Tl  0.750  0.750  0.750
Ho  0.000  0.000  0.000

For the calculated total energy, the calculation gives -5.52 eV per atom. The symmetry is F-43m (216).

First-principles (GGA-PBE) data for a relaxed structure of LaWN2, as listed in Alexandria.

a b c (Å): 6.986 6.986 6.986
angles (deg): 26.79 26.79 26.79
Sites, in units of the cell vectors:
N  0.883  0.883  0.883
N  0.117  0.117  0.117
La  0.000  0.000  0.000
W  0.500  0.500  0.500

For the calculated total energy, the calculation gives -8.79 eV per atom. The symmetry is R-3m (166). The value obtained for the energy relative to the lowest polymorph listed for this composition is 455 meV/atom. Its formation energy (no corrections) is -0.154 eV per atom.

First-principles (GGA-PBE) data for a relaxed structure of Ta3C4, as listed in Alexandria.

a b c (Å): 5.854 5.854 2.862
angles (deg): 90.00 90.00 120.00
Sites, in units of the cell vectors:
C  0.667  0.333  0.500
C  0.000  0.000  0.253
C  0.333  0.667  0.500
C  0.000  0.000  0.747
Ta  0.000  0.500  0.000
Ta  0.500  0.500  0.000
Ta  0.500  0.000  0.000

For the calculated total energy, the calculation gives -9.58 eV per atom. The symmetry is P6/mmm (191). The value obtained for the energy relative to the lowest polymorph listed for this composition is 767 meV/atom.

First-principles (GGA-PBE) data for a relaxed structure of AcLa4SmEr2, as listed in Alexandria.

a b c (Å): 5.251 6.390 9.804
angles (deg): 89.25 74.47 65.74
Sites, in units of the cell vectors:
La  0.123  0.123  0.630
La  0.877  0.877  0.370
La  0.626  0.625  0.123
La  0.374  0.375  0.877
Er  0.744  0.756  0.755
Er  0.256  0.244  0.245
Ac  0.500  0.500  0.500
Sm  0.000  0.000  0.000

For the calculated total energy, the calculation gives -4.68 eV per atom. The symmetry is C2/m (12).

First-principles (GGA-PBE) data for a relaxed structure of La2Pm7Er4, as listed in Alexandria.

a b c (Å): 8.651 11.051 8.510
angles (deg): 74.83 105.91 144.95
Sites, in units of the cell vectors:
Er  0.043  0.878  0.741
Er  0.389  0.150  0.418
Er  0.957  0.122  0.259
Er  0.611  0.850  0.582
La  0.303  0.573  0.988
La  0.697  0.427  0.012
Pm  0.691  0.652  0.342
Pm  0.330  0.886  0.195
Pm  0.981  0.392  0.374
Pm  0.019  0.608  0.626
Pm  0.670  0.114  0.805
Pm  0.000  0.000  0.000
Pm  0.309  0.348  0.658

For the calculated total energy, the calculation gives -4.56 eV per atom. The symmetry is P-1 (2).